Entry 1:
The following is a PBE calculation of BaTl2Sb after structural relaxation, from Alexandria via LeMat-Bulk.

```
data_BaTl2Sb
_chemical_formula_sum 'Ba4 Tl8 Sb4'
_cell_length_a 8.225
_cell_length_b 8.225
_cell_length_c 8.225
_cell_angle_alpha 90.00
_cell_angle_beta 90.00
_cell_angle_gamma 90.00
_symmetry_space_group_name_H-M 'F -4 3 m'
_symmetry_Int_Tables_number 216
_symmetry_space_group_name_Hall 'F -4 2 3'
loop_
_atom_site_label
_atom_site_fract_x
_atom_site_fract_y
_atom_site_fract_z
Ba1 0.000 0.000 0.000
Tl1 0.000 0.000 0.500
Tl2 0.250 0.250 0.750
Sb1 0.250 0.250 0.250
```

N(E_F)	0.9081	states/eV/atom
excess energy over the best structure of this formula in the dataset	153.0	meV per atom
uncorrected formation energy	-1.35	eV/f.u.

***

Entry 2:
The following is a PBE calculation of DyTi3O6 after structural relaxation, from Alexandria via LeMat-Bulk.

```
data_DyTi3O6
_chemical_formula_sum 'Dy2 Ti6 O12'
_cell_length_a 8.505
_cell_length_b 3.050
_cell_length_c 8.701
_cell_angle_alpha 90.00
_cell_angle_beta 110.07
_cell_angle_gamma 90.00
_symmetry_space_group_name_H-M 'P 1 21/m 1'
_symmetry_Int_Tables_number 11
loop_
_symmetry_equiv_pos_as_xyz
'x,y,z'
'-x,-y,-z'
'-x,y+1/2,-z'
'x,-y+1/2,z'
loop_
_atom_site_label
_atom_site_fract_x
_atom_site_fract_y
_atom_site_fract_z
Dy1 0.066 0.250 0.204
Ti1 0.174 0.250 0.598
Ti2 0.322 0.750 0.992
Ti3 0.460 0.250 0.344
O1 0.076 0.750 0.418
O2 0.129 0.250 0.964
O3 0.193 0.750 0.749
O4 0.288 0.750 0.232
O5 0.375 0.250 0.537
O6 0.479 0.250 0.113
```

N(E_F)	0.4728	states/eV/atom
uncorrected formation energy	-29.96	eV/f.u.